## TiTe2MoI (GGA-PBE)

Data for a relaxed TiTe2MoI crystal.

Unit cell a=5.3474 b=5.3474 c=5.5443 alpha=90.00 beta=90.00 gamma=90.00
Space group P4/mmm (No. 123)
Symmetry-distinct sites (fractional):
Ti1 0.0000 0.0000 0.0000 (multiplicity 1)
Te1 0.0000 0.5000 0.0000 (multiplicity 2)
Mo1 0.5000 0.5000 0.5000 (multiplicity 1)
I1 0.0000 0.0000 0.5000 (multiplicity 1)

---

## TlTe2MoI (GGA-PBE)

Data for a relaxed TlTe2MoI crystal.

Unit cell a=5.2785 b=5.2785 c=6.0450 alpha=90.00 beta=90.00 gamma=90.00
Space group P4/mmm (No. 123)
Symmetry-distinct sites (fractional):
Tl1 0.0000 0.0000 0.0000 (multiplicity 1)
Te1 0.0000 0.5000 0.5000 (multiplicity 2)
Mo1 0.5000 0.5000 0.5000 (multiplicity 1)
I1 0.5000 0.5000 0.0000 (multiplicity 1)

---

## TeMoWI2 (GGA-PBE)

Data for a relaxed TeMoWI2 crystal.

Unit cell a=5.6515 b=5.6515 c=5.2545 alpha=90.00 beta=90.00 gamma=90.00
Space group P4/mmm (No. 123)
Symmetry-distinct sites (fractional):
Te1 0.0000 0.0000 0.0000 (multiplicity 1)
Mo1 0.5000 0.5000 0.0000 (multiplicity 1)
W1 0.0000 0.0000 0.5000 (multiplicity 1)
I1 0.0000 0.5000 0.5000 (multiplicity 2)

---

## YTe2MoI (GGA-PBE)

Data for a relaxed YTe2MoI crystal.

Unit cell a=5.8837 b=5.8837 c=5.8572 alpha=90.00 beta=90.00 gamma=90.00
Space group P4/mmm (No. 123)
Symmetry-distinct sites (fractional):
Y1 0.0000 0.0000 0.0000 (multiplicity 1)
Te1 0.0000 0.5000 0.0000 (multiplicity 2)
Mo1 0.5000 0.5000 0.5000 (multiplicity 1)
I1 0.0000 0.0000 0.5000 (multiplicity 1)

---

Asked for density of states at the Fermi level across the records above, the calculation gives 0.713; 1.106; 0.708; 0.989 states/eV per atom in order.
Asked for polymorph energy (0 for the lowest one) across the records above, the calculation gives 0.0000; 0.0000; 0.0000; 0.2612 eV/atom in order.
Asked for E across the records above, the calculation gives -4.6703; -4.0697; -4.6265; -4.6186 eV per atom in order.